w.
Compound: CaTa2Bi2O9
Source: the Alexandria database
Functional: meta-GGA SCAN
Structure: single point on PBEsol structure

- D(E_F) (states/eV/cell) = 0.00
- size of the total moment (μB per formula unit) = 0.00

Cell: 24.9508 5.4242 5.4717 Å, 90.00 90.00 90.00°
Space group Cmc2_1 (No. 36)
Symmetry-distinct sites (fractional):
Ca  0.0000  0.2440  0.0000 x4
Ta  0.0818  0.2526  0.5366 x8
Bi  0.1989  0.2245  0.9588 x8
O  0.0000  0.3299  0.5712 x4
O  0.0615  0.0380  0.2648 x8
O  0.0867  0.4442  0.8527 x8
O  0.1553  0.1721  0.5462 x8
O  0.2490  0.4912  0.7293 x8


x.
Compound: CaTa2Bi2O9
Source: the Alexandria database
Functional: meta-GGA SCAN
Structure: single point on PBEsol structure

- D(E_F) (states/eV/cell) = 0.00
- size of the total moment (μB per formula unit) = 0.00

Cell: 25.1536 3.8772 3.9132 Å, 90.00 94.74 90.00°
Space group C2/m (No. 12)
Symmetry-distinct sites (fractional):
Ca  0.0000  0.0000  0.0000 x2
Ta  0.0821  0.5000  0.5520 x4
Bi  0.1997  0.0000  0.2597 x4
O  0.0000  0.5000  0.5000 x2
O  0.0720  0.5000  0.0380 x4
O  0.0730  0.0000  0.5284 x4
O  0.1579  0.5000  0.5680 x4
O  0.2483  0.0000  0.7523 x4


List of relative energies, unit eV/atom: w 0.000; x 0.045


w.
Compound: CaVBiO5
Source: the Alexandria database
Functional: meta-GGA SCAN
Structure: single point on PBEsol structure

- D(E_F) (states/eV/cell) = 0.00
- size of the total moment (μB per formula unit) = 0.00

Cell: 5.4373 15.5321 11.1641 Å, 90.00 90.00 90.00°
Space group Pbca (No. 61)
Symmetry-distinct sites (fractional):
Ca  0.0063  0.0532  0.1413 x8
V  0.0107  0.0979  0.5962 x8
Bi  0.0463  0.7334  0.1520 x8
O  0.0592  0.1947  0.6737 x8
O  0.1272  0.5241  0.8158 x8
O  0.1765  0.6246  0.0243 x8
O  0.2083  0.5658  0.5461 x8
O  0.2433  0.1540  0.2691 x8


x.
Compound: CaVBiO5
Source: the Alexandria database
Functional: meta-GGA SCAN
Structure: single point on PBEsol structure

- D(E_F) (states/eV/cell) = 0.00
- size of the total moment (μB per formula unit) = 0.00

Cell: 5.7229 11.6754 8.1507 Å, 90.00 109.77 90.00°
Space group P2_1/c (No. 14)
Symmetry-distinct sites (fractional):
Ca  0.0461  0.0877  0.1880 x4
V  0.3319  0.6446  0.0267 x4
Bi  0.4635  0.0953  0.8330 x4
O  0.1886  0.7245  0.5031 x4
O  0.2506  0.5581  0.1736 x4
O  0.2660  0.5758  0.8292 x4
O  0.2711  0.0257  0.0131 x4
O  0.3643  0.1800  0.3949 x4


List of relative energies, unit eV/atom: w 0.000; x 0.028


w.
Compound: SrCaBi2
Source: the Alexandria database
Functional: meta-GGA SCAN
Structure: single point on PBEsol structure

- D(E_F) (states/eV/cell) = 9.56
- size of the total moment (μB per formula unit) = 0.00

Cell: 8.0109 8.0109 8.0109 Å, 90.00 90.00 90.00°
Space group Fm-3m (No. 225)
Symmetry-distinct sites (fractional):
Sr  0.0000  0.0000  0.0000 x4
Ca  0.0000  0.0000  0.5000 x4
Bi  0.2500  0.2500  0.2500 x8


x.
Compound: SrCaBi2
Source: the Alexandria database
Functional: meta-GGA SCAN
Structure: single point on PBEsol structure

- D(E_F) (states/eV/cell) = 9.95
- size of the total moment (μB per formula unit) = 0.00

Cell: 8.7760 8.7760 7.0389 Å, 90.00 90.00 90.00°
Space group I-42d (No. 122)
Symmetry-distinct sites (fractional):
Sr  0.0000  0.0000  0.0000 x4
Ca  0.0000  0.0000  0.5000 x4
Bi  0.2351  0.2500  0.6250 x8


List of relative energies, unit eV/atom: w 0.000; x 0.161